# 1
First-principles (PBE) data for an optimized crystal structure of Cs2TmTlO4, as listed in Alexandria via LeMat-Bulk.

abc: 6.4495 6.4495 9.0533
angles: 90.00 90.00 90.00
Last column: nearest neighbours and their distance in Å.
Space group I-4 (No. 82)
Symmetry-distinct sites (fractional):
Cs  0.0000  0.0000  0.0000 (multiplicity 2)  4 O 3.06
Cs  0.0000  0.5000  0.2500 (multiplicity 2)  4 O 3.11
Tm  0.0000  0.5000  0.7500 (multiplicity 2)  4 O 2.11
Tl  0.0000  0.0000  0.5000 (multiplicity 2)  4 O 2.18
O  0.1322  0.7424  0.6248 (multiplicity 8)  1 Tm 2.11, 1 Tl 2.18

## Properties
* D(E_F): 0.0 states/eV per cell
* formation energy without anion corrections: -14.47 eV/f.u.
* electronic total energy: -5.36 eV per atom

# 2
First-principles (PBE) data for an optimized crystal structure of CsU2TlO7, as listed in Alexandria via LeMat-Bulk.

abc: 4.3021 4.3021 11.1568
angles: 90.00 90.00 90.00
Last column: nearest neighbours and their distance in Å.
Space group P4/mmm (No. 123)
Symmetry-distinct sites (fractional):
Cs  0.0000  0.0000  0.0000 (multiplicity 1)  8 O 3.40
U  0.5000  0.5000  0.3056 (multiplicity 2)  1 O 1.89
Tl  0.0000  0.0000  0.5000 (multiplicity 1)  12 O 3.01-3.04
O  0.0000  0.5000  0.3111 (multiplicity 4)  2 U 2.15
O  0.5000  0.5000  0.1359 (multiplicity 2)  1 U 1.89
O  0.5000  0.5000  0.5000 (multiplicity 1)  2 U 2.17

## Properties
* D(E_F): 0.0 states/eV per cell
* formation energy without anion corrections: -29.12 eV/f.u.
* electronic total energy: -8.15 eV per atom

# 3
First-principles (PBE) data for an optimized crystal structure of Cs3U2TlO9, as listed in Alexandria via LeMat-Bulk.

abc: 6.2617 6.2617 7.6909
angles: 90.00 90.00 120.00
Last column: nearest neighbours and their distance in Å.
Space group P-3m1 (No. 164)
Symmetry-distinct sites (fractional):
Cs  0.0000  0.0000  0.0000 (multiplicity 1)  12 O 3.10-3.13
Cs  0.3333  0.6667  0.6581 (multiplicity 2)  12 O 3.13-3.19
U  0.3333  0.6667  0.1635 (multiplicity 2)  6 O 2.04-2.20
Tl  0.0000  0.0000  0.5000 (multiplicity 1)  6 O 2.40
O  0.0000  0.5000  0.0000 (multiplicity 3)  2 U 2.20
O  0.1786  0.3573  0.3148 (multiplicity 6)  1 U 2.04

## Properties
* formation energy without anion corrections: -34.58 eV/f.u.
* electronic total energy: -7.11 eV per atom

> Among the records above, which one has the lowest electronic total energy?

CsU2TlO7

> Among the records above, which one has the lowest electronic total energy?

CsU2TlO7

> Which formula does entry 2 have?

CsU2TlO7

> Among the records above, which one has the lowest electronic total energy?

CsU2TlO7